# 1
An optimized crystal structure of KScV2O8, computed with PBE+U.

Values from the calculation:
The size of the total moment comes out at 0.169 μB/atom. Its electronic total energy is -7.111 eV/atom. The density of states at the Fermi level is 0.711 states/eV/atom. Its symmetry is No. 164. The value obtained for the volume is 18.000 Å³/atom.

a = 5.7743 Å, b = 5.7743 Å, c = 7.4805 Å
α = 90.00°, β = 90.00°, γ = 120.00°
Positions (direct):
K  0.0000  0.0000  0.0000
Sc  0.0000  0.0000  0.5000
V  0.3333  0.6667  0.2586
V  0.6667  0.3333  0.7414
O  0.1674  0.3349  0.3326
O  0.1674  0.8326  0.3326
O  0.3333  0.6667  0.0312
O  0.3349  0.1674  0.6674
O  0.6651  0.8326  0.3326
O  0.6667  0.3333  0.9688
O  0.8326  0.1674  0.6674
O  0.8326  0.6651  0.6674

***

# 2
An optimized crystal structure of KScVO4, computed with PBE+U.

Values from the calculation:
The size of the total moment comes out at 0.143 μB/atom. Its electronic total energy is -7.371 eV/atom. Its symmetry is No. 11. The value obtained for the volume is 15.747 Å³/atom.

a = 5.5344 Å, b = 5.7021 Å, c = 7.2198 Å
α = 90.00°, β = 104.63°, γ = 90.00°
Positions (direct):
K  0.1179  0.2500  0.1124
K  0.8821  0.7500  0.8876
Sc  0.1628  0.7500  0.4710
Sc  0.8372  0.2500  0.5290
V  0.3942  0.2500  0.6746
V  0.6058  0.7500  0.3254
O  0.1571  0.0179  0.6725
O  0.1571  0.4821  0.6725
O  0.2800  0.7500  0.2046
O  0.4488  0.2500  0.4373
O  0.5512  0.7500  0.5627
O  0.7200  0.2500  0.7954
O  0.8429  0.5179  0.3275
O  0.8429  0.9821  0.3275

***

# 3
An optimized crystal structure of KScV2O6, computed with PBE+U.

Values from the calculation:
The size of the total moment comes out at 0.200 μB/atom. Its electronic total energy is -7.433 eV/atom. Its symmetry is No. 148. The value obtained for the volume is 13.788 Å³/atom.

a = 6.1859 Å, b = 6.1859 Å, c = 6.1859 Å
α = 52.49°, β = 52.49°, γ = 52.49°
Positions (direct):
K  0.0000  0.0000  0.0000
Sc  0.5000  0.5000  0.5000
V  0.3225  0.3225  0.3225
V  0.6775  0.6775  0.6775
O  0.0870  0.5667  0.5691
O  0.4309  0.9130  0.4333
O  0.4333  0.4309  0.9130
O  0.5667  0.5691  0.0870
O  0.5691  0.0870  0.5667
O  0.9130  0.4333  0.4309

***

# 4
An optimized crystal structure of K3ScV2O8, computed with PBE+U.

Values from the calculation:
The size of the total moment comes out at 0.000 μB/atom. Its electronic total energy is -6.892 eV/atom. The density of states at the Fermi level is 0.000 states/eV/atom. Its symmetry is No. 164. The value obtained for the volume is 16.030 Å³/atom.

a = 5.8468 Å, b = 5.8468 Å, c = 7.5806 Å
α = 90.00°, β = 90.00°, γ = 120.00°
Positions (direct):
K  0.0000  0.0000  0.0000
K  0.3333  0.6667  0.6892
K  0.6667  0.3333  0.3108
Sc  0.0000  0.0000  0.5000
V  0.3333  0.6667  0.2536
V  0.6667  0.3333  0.7464
O  0.1696  0.3393  0.3345
O  0.1696  0.8304  0.3345
O  0.3333  0.6667  0.0320
O  0.3393  0.1696  0.6655
O  0.6607  0.8304  0.3345
O  0.6667  0.3333  0.9680
O  0.8304  0.1696  0.6655
O  0.8304  0.6607  0.6655

***

# 5
An optimized crystal structure of K2ScVO4, computed with PBE+U.

Values from the calculation:
The size of the total moment comes out at 0.250 μB/atom. Its electronic total energy is -6.736 eV/atom. Its symmetry is No. 82. The value obtained for the volume is 17.648 Å³/atom.

a = 5.8407 Å, b = 5.8407 Å, c = 5.8407 Å
α = 119.86°, β = 119.86°, γ = 90.24°
Positions (direct):
K  0.0000  0.0000  0.0000
K  0.7500  0.2500  0.5000
Sc  0.5000  0.5000  0.0000
V  0.2500  0.7500  0.5000
O  0.2325  0.1184  0.6082
O  0.3756  0.7675  0.8858
O  0.5102  0.6244  0.3918
O  0.8816  0.4898  0.1142

***

# 6
An optimized crystal structure of K2ScWO6, computed with PBE+U.

Values from the calculation:
The size of the total moment comes out at 0.096 μB/atom. Its electronic total energy is -6.811 eV/atom. The density of states at the Fermi level is 0.485 states/eV/atom. Its symmetry is No. 225. The value obtained for the volume is 13.636 Å³/atom.

a = 5.7774 Å, b = 5.7774 Å, c = 5.7774 Å
α = 60.00°, β = 60.00°, γ = 60.00°
Positions (direct):
K  0.2500  0.2500  0.2500
K  0.7500  0.7500  0.7500
Sc  0.0000  0.0000  0.0000
W  0.5000  0.5000  0.5000
O  0.2608  0.2608  0.7392
O  0.2608  0.7392  0.2608
O  0.2608  0.7392  0.7392
O  0.7392  0.2608  0.2608
O  0.7392  0.2608  0.7392
O  0.7392  0.7392  0.2608

***

# 7
An optimized crystal structure of K3ScW2O9, computed with PBE+U.

Values from the calculation:
The size of the total moment comes out at 0.000 μB/atom. Its electronic total energy is -6.895 eV/atom. The density of states at the Fermi level is 0.000 states/eV/atom. Its symmetry is No. 164. The value obtained for the volume is 13.225 Å³/atom.

a = 5.7118 Å, b = 5.7118 Å, c = 7.0213 Å
α = 90.00°, β = 90.00°, γ = 120.00°
Positions (direct):
K  0.0000  0.0000  0.0000
K  0.3333  0.6667  0.6660
K  0.6667  0.3333  0.3340
Sc  0.0000  0.0000  0.5000
W  0.3333  0.6667  0.1715
W  0.6667  0.3333  0.8285
O  0.0000  0.5000  0.0000
O  0.1735  0.3471  0.3211
O  0.1735  0.8265  0.3211
O  0.3471  0.1735  0.6789
O  0.5000  0.0000  0.0000
O  0.5000  0.5000  0.0000
O  0.6529  0.8265  0.3211
O  0.8265  0.1735  0.6789
O  0.8265  0.6529  0.6789